(1)
Density functional theory data (PBE) for a relaxed structure of ScTl2Tc.

The space-group type is C2/m (12). The value obtained for the polymorph energy (0 for the lowest one) is 0.013 eV/atom. The value obtained for the total energy is -20.66 eV for the cell shown.

Cell: 5.1936 5.1936 4.9704 Å, 72.57 72.57 40.97°
Element x y z (fractional)
Sc 0.7500 0.7500 0.7500
Tc 0.2500 0.2500 0.2500
Tl 0.9911 0.9911 0.0163
Tl 0.5089 0.5089 0.4837

***

(2)
Density functional theory data (PBE) for a relaxed structure of Sc6TlTc2.

The space-group type is Immm (71). The value obtained for the total energy is -125.85 eV for the cell shown.

Cell: 8.0226 8.0226 8.0226 Å, 103.93 111.64 112.99°
Element x y z (fractional)
Sc 0.5298 0.7183 0.8115
Sc 0.4702 0.2817 0.1885
Sc 0.0931 0.2817 0.8115
Sc 0.9069 0.7183 0.1885
Sc 0.7901 0.7549 0.5451
Sc 0.2099 0.2451 0.4549
Sc 0.2099 0.7549 0.9648
Sc 0.7901 0.2451 0.0352
Sc 0.6889 0.3561 0.6672
Sc 0.3111 0.6439 0.3328
Sc 0.3111 0.9783 0.6672
Sc 0.6889 0.0217 0.3328
Tl 0.0000 0.5000 0.5000
Tl 0.0000 0.0000 0.0000
Tc 0.5000 0.3782 0.8782
Tc 0.5000 0.6218 0.1218
Tc 0.6692 0.0000 0.6692
Tc 0.3308 0.0000 0.3308

***

(3)
Density functional theory data (PBE) for a relaxed structure of ScTl2Tc.

The space-group type is Fm-3m (225). The value obtained for the polymorph energy (0 for the lowest one) is 0.065 eV/atom. The value obtained for the total energy is -20.45 eV for the cell shown.

Cell: 4.8432 4.8432 4.8432 Å, 60.00 60.00 60.00°
Element x y z (fractional)
Sc 0.0000 0.0000 0.0000
Tl 0.2500 0.2500 0.2500
Tl 0.7500 0.7500 0.7500
Tc 0.5000 0.5000 0.5000